i | ## TmThCu4 (PBE)

Data for a relaxed TmThCu4 crystal.

Geometry as POSCAR:
```
TmThCu4
1.0
-2.1607 3.4368 3.7081
2.1607 -3.4368 3.7081
2.1607 3.4368 -3.7081
Tm Th Cu
1 1 4
direct
0.0000 0.0000 0.0000
0.4249 0.9249 0.5000
0.0037 0.3016 0.7022
0.4267 0.6323 0.7944
0.5994 0.3016 0.2978
0.8378 0.6323 0.2056
```

ii | ## TmThCu4 (PBE)

Data for a relaxed TmThCu4 crystal.

Geometry as POSCAR:
```
TmThCu4
1.0
0.0000 3.7424 3.7424
3.7424 0.0000 3.7424
3.7424 3.7424 0.0000
Tm Th Cu
1 1 4
direct
0.0000 0.0000 0.0000
0.2500 0.2500 0.2500
0.1225 0.6258 0.6258
0.6258 0.1225 0.6258
0.6258 0.6258 0.1225
0.6258 0.6258 0.6258
```

Verdict on stability: ii comes out at the bottom.